PrAl3Br12: optimized geometry, GGA-PBEsol.

```
PrAl3Br12
1.0
10.586 0.000 0.000
-5.293 9.167 0.000
0.000 0.000 18.528
Pr Al Br
3 9 36
Cartesian
-3.929 6.805 3.088
1.364 2.362 9.264
7.858 0.000 15.440
-0.447 0.774 12.352
0.894 0.000 6.176
-0.273 5.970 4.297
0.259 5.946 10.473
0.014 6.419 16.649
5.020 3.197 8.055
5.307 2.749 14.231
5.552 3.221 1.879
4.846 8.393 0.000
-0.786 2.072 14.245
-0.427 1.787 6.809
-2.407 5.536 5.281
-3.531 8.643 0.633
-2.164 6.524 16.054
-3.105 8.812 8.069
1.761 0.524 11.719
-1.537 6.285 11.802
-0.353 4.717 8.541
2.188 0.355 4.283
0.725 4.031 3.702
-1.031 7.115 2.365
0.618 4.694 17.978
1.702 4.315 11.457
3.129 2.643 14.827
2.886 3.631 7.071
1.385 6.503 14.717
0.919 7.355 5.626
3.756 2.882 0.550
4.261 2.052 9.987
0.705 8.484 17.633
1.439 7.779 9.878
5.998 0.683 13.247
6.212 1.812 6.726
4.939 4.451 3.811
6.732 1.388 2.474
3.891 7.450 1.893
6.677 2.664 16.163
5.911 4.473 12.902
3.958 7.904 12.986
4.507 7.095 16.635
6.017 5.136 8.651
4.866 7.380 5.543
6.995 4.852 0.895
9.251 1.263 17.895
9.184 1.717 10.459
```

**DOS at the Fermi energy**: 0.000 states/eV per cell
**VASP energy**: -3.772 eV per atom
**Formation energy from raw total energies**: -1.278 eV/atom
**SG**: P3_121, No. 152